No. 1
# CaHoCuNi

CaHoCuNi after structural relaxation (PBE, Alexandria via LeMat-Bulk).

The space group is F-43m (No. 216) and the conventional cell measures 6.863, 6.863 and 6.863 Å, with angles of 90.00, 90.00 and 90.00 degrees. The inequivalent atoms are Ca at (0.000, 0.000, 0.000), Ho at (0.000, 0.000, 0.500), Cu at (0.250, 0.250, 0.750) and Ni at (0.250, 0.250, 0.250).

The energy of formation from the pure elements is -0.16 eV per atom. The calculation puts the volume at 20.20 Å³ per atom. The spin magnetization is 0.00 μB per atom.

---

No. 2
# LiSe

LiSe after structural relaxation (PBE, Alexandria via LeMat-Bulk).

The space group is P2_12_12_1 (No. 19) and the conventional cell measures 5.371, 7.411 and 8.235 Å, with angles of 90.00, 90.00 and 90.00 degrees. The inequivalent atoms are Li at (0.043, 0.154, 0.468), Li at (0.088, 0.294, 0.850), Se at (0.096, 0.501, 0.512) and Se at (0.214, 0.992, 0.214).

The calculation puts the volume at 20.49 Å³ per atom. The calculation puts the energy above the most stable polymorph in this dataset at 27 meV/atom. As for the raw formation energy: -0.88 eV/atom. The spin magnetization is 0.00 μB per atom.

---

No. 3
# Ba8Bi3AsI4

Ba8Bi3AsI4 after structural relaxation (PBE, Alexandria via LeMat-Bulk).

The space group is R-3m (No. 166, hexagonal axes) and the conventional cell measures 10.1623, 10.1623 and 25.2541 Å, with angles of 90.00, 90.00 and 120.00 degrees. The inequivalent atoms are Ba at (0.0000, 0.0000, 0.2403), Ba at (0.0126, 0.5063, 0.2377), Bi at (0.0000, 0.5000, 0.5000), As at (0.0000, 0.0000, 0.5000), I at (0.0000, 0.0000, 0.0000) and I at (0.0000, 0.5000, 0.0000).

The calculation puts the volume at 47.05 Å³ per atom. As for the raw formation energy: -1.34 eV/atom. The spin magnetization is 0.00 μB per atom.

---

No. 4
# AcPmRh2

AcPmRh2 after structural relaxation (PBE, Alexandria via LeMat-Bulk).

The space group is P2/c (No. 13) and the conventional cell measures 5.834, 5.842 and 11.846 Å, with angles of 90.00, 104.55 and 90.00 degrees. The inequivalent atoms are Ac at (0.195, 0.128, 0.141), Pm at (0.307, 0.375, 0.861), Rh at (0.169, 0.377, 0.590) and Rh at (0.336, 0.133, 0.418).

The energy of formation from the pure elements is -0.67 eV per atom. The calculation puts the volume at 24.42 Å³ per atom. The calculation puts the energy above the most stable polymorph in this dataset at 12 meV/atom. The spin magnetization is 0.00 μB per atom.

---

No. 5
# SrMg4B2

SrMg4B2 after structural relaxation (PBE, Alexandria via LeMat-Bulk).

The space group is I4/mmm (No. 139) and the conventional cell measures 5.787, 5.787 and 13.001 Å, with angles of 90.00, 90.00 and 90.00 degrees. The inequivalent atoms are Sr at (0.000, 0.000, 0.000), Mg at (0.000, 0.000, 0.268), Mg at (0.000, 0.500, 0.000) and B at (0.000, 0.000, 0.440).

The energy of formation from the pure elements is 1.07 eV per atom. The calculation puts the volume at 31.10 Å³ per atom. The spin magnetization is 0.00 μB per atom.

---

No. 6
# RbNa2LiFe

RbNa2LiFe after structural relaxation (PBE, Alexandria via LeMat-Bulk).

The space group is P4/mmm (No. 123) and the conventional cell measures 5.825, 5.825 and 6.463 Å, with angles of 90.00, 90.00 and 90.00 degrees. The inequivalent atoms are Rb at (0.000, 0.000, 0.000), Na at (0.000, 0.500, 0.500), Li at (0.500, 0.500, 0.000) and Fe at (0.000, 0.000, 0.500).

The energy of formation from the pure elements is 0.82 eV per atom. The calculation puts the volume at 43.86 Å³ per atom. The spin magnetization is 0.52 μB per atom.